[1]
Entry from Alexandria: a relaxed structure of CaCdPb3 (PBE-GGA).

Summary:
total energy	-14.59	eV/cell
relative energy among the computed polymorphs	26	meV per atom
E_form	-110	meV per atom

Structure (CIF):
```
data_CaCdPb3
_chemical_formula_sum 'Ca1 Cd1 Pb3'
_cell_length_a 3.798
_cell_length_b 5.060
_cell_length_c 8.200
_cell_angle_alpha 90.07
_cell_angle_beta 90.00
_cell_angle_gamma 90.08
_symmetry_space_group_name_H-M 'P 1'
_symmetry_Int_Tables_number 1
loop_
_symmetry_equiv_pos_as_xyz
'x,y,z'
loop_
_atom_site_label
_atom_site_fract_x
_atom_site_fract_y
_atom_site_fract_z
Ca1 0.000 0.000 0.000
Cd1 0.000 0.467 0.499
Pb1 0.500 0.497 0.807
Pb2 0.500 0.498 0.192
Pb3 0.500 0.974 0.501
```

=====

[2]
Entry from Alexandria: a relaxed structure of Ca2Cd5Pb (PBE-GGA).

Summary:
total energy	-28.60	eV/cell
E_form	-252	meV per atom

Structure (CIF):
```
data_Ca2Cd5Pb
_chemical_formula_sum 'Ca4 Cd10 Pb2'
_cell_length_a 9.581
_cell_length_b 9.581
_cell_length_c 10.264
_cell_angle_alpha 90.00
_cell_angle_beta 90.00
_cell_angle_gamma 152.78
_symmetry_space_group_name_H-M 'P 1'
_symmetry_Int_Tables_number 1
loop_
_symmetry_equiv_pos_as_xyz
'x,y,z'
loop_
_atom_site_label
_atom_site_fract_x
_atom_site_fract_y
_atom_site_fract_z
Ca1 0.000 0.000 0.000
Ca2 0.000 0.000 0.500
Ca3 0.183 0.817 0.750
Ca4 0.817 0.183 0.250
Cd1 0.205 0.795 0.101
Cd2 0.205 0.795 0.399
Cd3 0.361 0.639 0.030
Cd4 0.361 0.639 0.470
Cd5 0.376 0.624 0.750
Cd6 0.624 0.376 0.250
Cd7 0.639 0.361 0.530
Cd8 0.639 0.361 0.970
Cd9 0.795 0.205 0.601
Cd10 0.795 0.205 0.899
Pb1 0.465 0.535 0.250
Pb2 0.535 0.465 0.750
```

=====

[3]
Entry from Alexandria: a relaxed structure of CaCdPb2 (PBE-GGA).

Summary:
total energy	-11.16	eV/cell
E_form	-207	meV per atom

Structure (CIF):
```
data_CaCdPb2
_chemical_formula_sum 'Ca1 Cd1 Pb2'
_cell_length_a 3.881
_cell_length_b 4.416
_cell_length_c 6.875
_cell_angle_alpha 90.00
_cell_angle_beta 90.00
_cell_angle_gamma 90.00
_symmetry_space_group_name_H-M 'P 1'
_symmetry_Int_Tables_number 1
loop_
_symmetry_equiv_pos_as_xyz
'x,y,z'
loop_
_atom_site_label
_atom_site_fract_x
_atom_site_fract_y
_atom_site_fract_z
Ca1 0.000 0.000 0.000
Cd1 0.500 0.500 0.746
Pb1 0.000 0.000 0.511
Pb2 0.500 0.500 0.259
```

=====

[4]
Entry from Alexandria: a relaxed structure of Ca2CdPb (PBE-GGA).

Summary:
total energy	-9.80	eV/cell
relative energy among the computed polymorphs	210	meV per atom
E_form	-294	meV per atom

Structure (CIF):
```
data_Ca2CdPb
_chemical_formula_sum 'Ca2 Cd1 Pb1'
_cell_length_a 5.372
_cell_length_b 5.372
_cell_length_c 6.778
_cell_angle_alpha 100.58
_cell_angle_beta 100.58
_cell_angle_gamma 41.44
_symmetry_space_group_name_H-M 'P 1'
_symmetry_Int_Tables_number 1
loop_
_symmetry_equiv_pos_as_xyz
'x,y,z'
loop_
_atom_site_label
_atom_site_fract_x
_atom_site_fract_y
_atom_site_fract_z
Ca1 0.249 0.249 0.247
Ca2 0.751 0.751 0.753
Cd1 0.000 0.000 0.500
Pb1 0.500 0.500 0.000
```

=====

[5]
Entry from Alexandria: a relaxed structure of CaCdPb3 (PBE-GGA).

Summary:
total energy	-11.28	eV/cell
relative energy among the computed polymorphs	689	meV per atom
E_form	552	meV per atom

Structure (CIF):
```
data_CaCdPb3
_chemical_formula_sum 'Ca1 Cd1 Pb3'
_cell_length_a 5.913
_cell_length_b 5.913
_cell_length_c 5.913
_cell_angle_alpha 90.00
_cell_angle_beta 90.00
_cell_angle_gamma 90.00
_symmetry_space_group_name_H-M 'P 1'
_symmetry_Int_Tables_number 1
loop_
_symmetry_equiv_pos_as_xyz
'x,y,z'
loop_
_atom_site_label
_atom_site_fract_x
_atom_site_fract_y
_atom_site_fract_z
Ca1 0.000 0.000 0.000
Cd1 0.500 0.500 0.500
Pb1 0.000 0.000 0.500
Pb2 0.000 0.500 0.000
Pb3 0.500 0.000 0.000
```

=====

[6]
Entry from Alexandria: a relaxed structure of Ca2CdPb (PBE-GGA).

Summary:
total energy	-9.54	eV/cell
relative energy among the computed polymorphs	276	meV per atom
E_form	-228	meV per atom

Structure (CIF):
```
data_Ca2CdPb
_chemical_formula_sum 'Ca2 Cd1 Pb1'
_cell_length_a 3.812
_cell_length_b 3.812
_cell_length_c 8.856
_cell_angle_alpha 90.00
_cell_angle_beta 90.00
_cell_angle_gamma 90.00
_symmetry_space_group_name_H-M 'P 1'
_symmetry_Int_Tables_number 1
loop_
_symmetry_equiv_pos_as_xyz
'x,y,z'
loop_
_atom_site_label
_atom_site_fract_x
_atom_site_fract_y
_atom_site_fract_z
Ca1 0.000 0.000 0.000
Ca2 0.500 0.500 0.337
Cd1 0.000 0.000 0.550
Pb1 0.500 0.500 0.756
```

=====

[7]
Entry from Alexandria: a relaxed structure of Ca6Cd5Pb (PBE-GGA).

Summary:
total energy	-25.20	eV/cell
E_form	-409	meV per atom

Structure (CIF):
```
data_Ca6Cd5Pb
_chemical_formula_sum 'Ca6 Cd5 Pb1'
_cell_length_a 9.404
_cell_length_b 9.404
_cell_length_c 9.404
_cell_angle_alpha 146.58
_cell_angle_beta 130.90
_cell_angle_gamma 60.70
_symmetry_space_group_name_H-M 'P 1'
_symmetry_Int_Tables_number 1
loop_
_symmetry_equiv_pos_as_xyz
'x,y,z'
loop_
_atom_site_label
_atom_site_fract_x
_atom_site_fract_y
_atom_site_fract_z
Ca1 0.082 0.333 0.749
Ca2 0.247 0.000 0.247
Ca3 0.416 0.667 0.749
Ca4 0.584 0.333 0.251
Ca5 0.753 0.000 0.753
Ca6 0.918 0.667 0.251
Cd1 0.000 0.500 0.500
Cd2 0.165 0.165 0.000
Cd3 0.331 0.831 0.500
Cd4 0.669 0.169 0.500
Cd5 0.835 0.835 0.000
Pb1 0.500 0.500 0.000
```

=====

[8]
Entry from Alexandria: a relaxed structure of Ca2Cd3Pb (PBE-GGA).

Summary:
total energy	-11.89	eV/cell
relative energy among the computed polymorphs	121	meV per atom
E_form	-239	meV per atom

Structure (CIF):
```
data_Ca2Cd3Pb
_chemical_formula_sum 'Ca2 Cd3 Pb1'
_cell_length_a 9.821
_cell_length_b 9.821
_cell_length_c 9.821
_cell_angle_alpha 157.31
_cell_angle_beta 151.09
_cell_angle_gamma 37.06
_symmetry_space_group_name_H-M 'P 1'
_symmetry_Int_Tables_number 1
loop_
_symmetry_equiv_pos_as_xyz
'x,y,z'
loop_
_atom_site_label
_atom_site_fract_x
_atom_site_fract_y
_atom_site_fract_z
Ca1 0.000 0.000 0.000
Ca2 0.753 0.253 0.500
Cd1 0.171 0.671 0.500
Cd2 0.321 0.821 0.500
Cd3 0.427 0.427 0.000
Pb1 0.585 0.585 0.000
```

=====

[9]
Entry from Alexandria: a relaxed structure of CaCdPb4 (PBE-GGA).

Summary:
total energy	-18.05	eV/cell
relative energy among the computed polymorphs	115	meV per atom
E_form	-50	meV per atom

Structure (CIF):
```
data_CaCdPb4
_chemical_formula_sum 'Ca1 Cd1 Pb4'
_cell_length_a 6.512
_cell_length_b 6.512
_cell_length_c 6.512
_cell_angle_alpha 60.00
_cell_angle_beta 60.00
_cell_angle_gamma 60.00
_symmetry_space_group_name_H-M 'P 1'
_symmetry_Int_Tables_number 1
loop_
_symmetry_equiv_pos_as_xyz
'x,y,z'
loop_
_atom_site_label
_atom_site_fract_x
_atom_site_fract_y
_atom_site_fract_z
Ca1 0.000 0.000 0.000
Cd1 0.750 0.750 0.750
Pb1 0.374 0.374 0.374
Pb2 0.374 0.374 0.877
Pb3 0.374 0.877 0.374
Pb4 0.877 0.374 0.374
```

=====

[10]
Entry from Alexandria: a relaxed structure of Ca2Cd16Pb (PBE-GGA).

Summary:
total energy	-24.68	eV/cell
E_form	-122	meV per atom

Structure (CIF):
```
data_Ca2Cd16Pb
_chemical_formula_sum 'Ca2 Cd16 Pb1'
_cell_length_a 7.765
_cell_length_b 7.765
_cell_length_c 7.765
_cell_angle_alpha 83.77
_cell_angle_beta 83.77
_cell_angle_gamma 83.77
_symmetry_space_group_name_H-M 'P 1'
_symmetry_Int_Tables_number 1
loop_
_symmetry_equiv_pos_as_xyz
'x,y,z'
loop_
_atom_site_label
_atom_site_fract_x
_atom_site_fract_y
_atom_site_fract_z
Ca1 0.000 0.000 0.000
Ca2 0.320 0.320 0.320
Cd1 0.014 0.014 0.491
Cd2 0.014 0.491 0.014
Cd3 0.149 0.669 0.669
Cd4 0.304 0.304 0.833
Cd5 0.304 0.833 0.304
Cd6 0.350 0.659 0.974
Cd7 0.350 0.974 0.659
Cd8 0.491 0.014 0.014
Cd9 0.659 0.350 0.974
Cd10 0.659 0.974 0.350
Cd11 0.669 0.149 0.669
Cd12 0.669 0.669 0.149
Cd13 0.768 0.768 0.768
Cd14 0.833 0.304 0.304
Cd15 0.974 0.350 0.659
Cd16 0.974 0.659 0.350
Pb1 0.561 0.561 0.561
```

=====

[11]
Entry from Alexandria: a relaxed structure of Ca6Cd23Pb (PBE-GGA).

Summary:
total energy	-43.99	eV/cell
E_form	-241	meV per atom

Structure (CIF):
```
data_Ca6Cd23Pb
_chemical_formula_sum 'Ca6 Cd23 Pb1'
_cell_length_a 10.132
_cell_length_b 10.132
_cell_length_c 10.132
_cell_angle_alpha 60.00
_cell_angle_beta 60.00
_cell_angle_gamma 60.00
_symmetry_space_group_name_H-M 'P 1'
_symmetry_Int_Tables_number 1
loop_
_symmetry_equiv_pos_as_xyz
'x,y,z'
loop_
_atom_site_label
_atom_site_fract_x
_atom_site_fract_y
_atom_site_fract_z
Ca1 0.228 0.228 0.772
Ca2 0.228 0.772 0.228
Ca3 0.228 0.772 0.772
Ca4 0.772 0.228 0.228
Ca5 0.772 0.228 0.772
Ca6 0.772 0.772 0.228
Cd1 0.000 0.000 0.500
Cd2 0.000 0.500 0.000
Cd3 0.000 0.500 0.500
Cd4 0.119 0.627 0.627
Cd5 0.152 0.152 0.152
Cd6 0.152 0.152 0.544
Cd7 0.152 0.544 0.152
Cd8 0.373 0.373 0.373
Cd9 0.373 0.373 0.881
Cd10 0.373 0.881 0.373
Cd11 0.456 0.848 0.848
Cd12 0.500 0.000 0.000
Cd13 0.500 0.000 0.500
Cd14 0.500 0.500 0.000
Cd15 0.500 0.500 0.500
Cd16 0.544 0.152 0.152
Cd17 0.627 0.119 0.627
Cd18 0.627 0.627 0.119
Cd19 0.627 0.627 0.627
Cd20 0.848 0.456 0.848
Cd21 0.848 0.848 0.456
Cd22 0.848 0.848 0.848
Cd23 0.881 0.373 0.373
Pb1 0.000 0.000 0.000
```

=====

[12]
Entry from Alexandria: a relaxed structure of CaCd2Pb8 (PBE-GGA).

Summary:
total energy	-33.46	eV/cell
E_form	3	meV per atom

Structure (CIF):
```
data_CaCd2Pb8
_chemical_formula_sum 'Ca1 Cd2 Pb8'
_cell_length_a 9.338
_cell_length_b 9.338
_cell_length_c 6.071
_cell_angle_alpha 106.30
_cell_angle_beta 106.30
_cell_angle_gamma 43.46
_symmetry_space_group_name_H-M 'P 1'
_symmetry_Int_Tables_number 1
loop_
_symmetry_equiv_pos_as_xyz
'x,y,z'
loop_
_atom_site_label
_atom_site_fract_x
_atom_site_fract_y
_atom_site_fract_z
Ca1 0.000 0.000 0.000
Cd1 0.292 0.292 0.822
Cd2 0.708 0.708 0.178
Pb1 0.114 0.634 0.267
Pb2 0.211 0.211 0.284
Pb3 0.366 0.886 0.733
Pb4 0.458 0.458 0.729
Pb5 0.542 0.542 0.271
Pb6 0.634 0.114 0.267
Pb7 0.789 0.789 0.716
Pb8 0.886 0.366 0.733
```

=====

| no. | M_tot (μB per cell) |
| --- | --- |
| 1 | 0.0 |
| 2 | 0.0 |
| 3 | 0.0 |
| 4 | 0.0 |
| 5 | 0.0 |
| 6 | 0.0 |
| 7 | 0.0 |
| 8 | 0.0 |
| 9 | 0.0 |
| 10 | 0.0 |
| 11 | 0.0 |
| 12 | 0.0 |